Material: FeSiIr2
Method: DFT, PBE-GGA
State: optimized geometry

Its formation energy without anion corrections is -19.79 kJ per mole of atoms. As for the density of states at the Fermi level: 1.04 states/eV per atom. For the total magnetization, the calculation gives 2.60 Bohr magnetons per cell. The crystal system is monoclinic.

Cell and atoms, written as POSCAR:
```
FeSiIr2
1.0
4.422 0.005 -0.012
3.555 2.629 -0.012
0.968 0.319 4.653
Fe Ir Si
1 2 1
Cartesian
2.236 0.738 1.157
1.047 0.346 4.639
4.393 1.450 2.328
6.709 2.214 3.472
```